DFT (PBE) results for a relaxed PmMg7Pb4 crystal.

Its raw total energy is -29.80 eV per formula unit. Its formation energy is 79 meV per atom. The calculated density comes out at 5.73 g cm⁻³.

The structure belongs to space group C2/m (No. 12); the cell edges are 12.495, 5.875 and 10.911 Å and the angles 90.00°, 124.13° and 90.00°. The asymmetric unit holds Pm at (0.000, 0.000, 0.000), Mg at (0.000, 0.500, 0.000), Mg at (0.100, 0.000, 0.431), Mg at (0.190, 0.500, 0.641), Mg at (0.193, 0.500, 0.911), Pb at (0.090, 0.500, 0.318) and Pb at (0.195, 0.000, 0.771).